## AgBr2 (PBE-GGA)

Data for a relaxed AgBr2 crystal.

Geometry as extended XYZ:
```
3
Lattice="-3.067 3.116 -3.085 2.339 -4.344 -2.072 -2.379 -1.626 0.723" Properties=species:S:1:pos:R:3 pbc="T T T"
Br -3.067 -0.602 -2.200
Br -0.040 -2.251 -2.235
Ag 0.000 0.000 0.000
```

## Properties
Symmetry: No. 164
Crystal system: trigonal
Density of states at the Fermi level, states/eV/f.u.: 1.055

=====

## CoAsOsSe2 (PBE-GGA)

Data for a relaxed CoAsOsSe2 crystal.

Geometry as extended XYZ:
```
5
Lattice="-1.115 -2.828 3.375 4.247 -1.612 0.052 1.125 3.057 2.933" Properties=species:S:1:pos:R:3 pbc="T T T"
Co 0.000 0.000 0.000
As 0.562 1.528 1.467
Os 2.128 -0.692 3.180
Se 2.123 -0.806 0.026
Se -0.558 -1.414 1.688
```

## Properties
Symmetry: No. 123
Crystal system: tetragonal
Energy above the lowest structure with this stoichiometry, meV per atom: 0
Density of states at the Fermi level, states/eV/f.u.: 6.015

=====

## Ce4IrSe2Br (PBE-GGA)

Data for a relaxed Ce4IrSe2Br crystal.

Geometry as extended XYZ:
```
8
Lattice="-0.884 1.407 -3.732 -0.036 -6.889 -2.589 -6.809 -2.714 0.590" Properties=species:S:1:pos:R:3 pbc="T T T"
Ce -5.301 -7.152 -1.440
Ce -2.428 -1.045 -4.290
Ce -2.084 -5.127 -3.675
Ce -5.645 -3.070 -2.055
Ir -0.460 -2.741 -3.160
Se -6.809 -2.714 0.590
Se -3.847 -0.654 -1.571
Br -3.422 -4.802 -0.999
```

## Properties
Symmetry: No. 10
Crystal system: monoclinic
Density of states at the Fermi level, states/eV/f.u.: 22.772

=====

## LaTe2O6 (PBE-GGA)

Data for a relaxed LaTe2O6 crystal.

Geometry as extended XYZ:
```
18
Lattice="-5.465 2.262 -5.326 -2.882 -3.864 5.468 0.355 4.520 5.707" Properties=species:S:1:pos:R:3 pbc="T T T"
La -3.982 -2.609 4.156
La -4.010 5.527 1.693
Te -2.237 0.500 2.277
Te -3.223 0.768 6.219
Te -5.755 2.418 3.571
Te -4.769 2.151 -0.371
O -3.755 1.218 1.109
O -7.104 2.484 2.067
O -4.237 1.700 4.740
O -0.888 0.435 3.782
O -4.287 3.894 0.099
O -4.933 4.055 3.198
O -3.705 -0.975 5.749
O -3.060 -1.136 2.651
O -1.084 -0.079 0.878
O -4.493 1.045 7.610
O -6.909 2.998 4.971
O -3.499 1.874 -1.761
```

## Properties
Symmetry: No. 15
Crystal system: monoclinic
Density of states at the Fermi level, states/eV/f.u.: 2.763

=====

## ZnCo3Hg (PBE-GGA)

Data for a relaxed ZnCo3Hg crystal.

Geometry as extended XYZ:
```
5
Lattice="4.385 0.000 0.000 0.000 4.385 0.000 0.000 0.000 4.385" Properties=species:S:1:pos:R:3 pbc="T T T"
Zn 0.000 0.000 0.000
Co 0.000 2.192 0.000
Co 0.000 0.000 2.192
Co 2.192 0.000 0.000
Hg 2.192 2.192 2.192
```

## Properties
Symmetry: No. 221
Crystal system: cubic
Energy above the lowest structure with this stoichiometry, meV per atom: 0
Density of states at the Fermi level, states/eV/f.u.: 10.233
Energy of formation from the pure elements, kJ/mol of atoms: 105.2

=====

## Al2IrF2 (PBE-GGA)

Data for a relaxed Al2IrF2 crystal.

Geometry as extended XYZ:
```
5
Lattice="4.140 0.000 0.000 0.000 4.140 0.000 2.070 2.070 3.804" Properties=species:S:1:pos:R:3 pbc="T T T"
Ir 0.000 0.000 0.000
Al 4.140 2.070 1.902
Al 2.070 4.140 1.902
F 2.070 2.070 1.149
F 4.140 4.140 2.655
```

## Properties
Symmetry: No. 139
Crystal system: tetragonal
Energy above the lowest structure with this stoichiometry, meV per atom: 593
Density of states at the Fermi level, states/eV/f.u.: 2.442

=====

## NaFeCl3 (PBE-GGA)

Data for a relaxed NaFeCl3 crystal.

Geometry as extended XYZ:
```
10
Lattice="-2.308 3.841 -0.958 -7.608 -4.776 -2.685 -4.494 -0.914 5.040" Properties=species:S:1:pos:R:3 pbc="T T T"
Na -5.005 3.164 2.037
Na -8.819 -2.494 -1.945
Fe -9.851 -0.790 1.549
Fe -3.968 1.456 -1.458
Cl -7.586 -0.737 1.893
Cl -6.233 1.405 -1.804
Cl -3.728 0.935 0.791
Cl -11.062 -2.756 1.617
Cl -7.256 2.511 3.516
Cl -10.095 -0.267 -0.699
```

## Properties
Symmetry: No. 2
Crystal system: triclinic
Density of states at the Fermi level, states/eV/f.u.: 1.719

=====

## Pm3DyTl3 (PBE-GGA)

Data for a relaxed Pm3DyTl3 crystal.

Geometry as extended XYZ:
```
28
Lattice="-3.415 8.710 -1.692 0.548 -1.603 -9.355 -8.856 -3.458 0.074" Properties=species:S:1:pos:R:3 pbc="T T T"
Pm -4.185 6.067 -4.431
Pm -10.900 3.393 -10.203
Pm -5.310 4.972 -7.697
Pm -3.027 -0.932 -7.996
Pm -2.066 0.643 -1.934
Pm -6.643 -0.839 -8.204
Pm -5.055 -2.049 -4.097
Pm -8.329 -0.297 -2.121
Pm -9.427 2.523 -4.112
Pm -7.905 2.461 -7.399
Pm -5.715 3.368 -1.590
Pm -1.777 2.586 -6.057
Dy -8.138 -3.476 -5.428
Dy -8.206 5.961 -2.218
Dy -4.993 1.554 -4.674
Dy -2.110 3.260 -9.628
Tl -11.074 2.103 -7.098
Tl -5.218 6.696 -1.465
Tl -8.579 5.312 -8.696
Tl -2.350 -0.520 -4.892
Tl -5.209 0.202 -1.598
Tl -0.402 0.813 -8.567
Tl -7.568 -3.403 -2.313
Tl -7.598 -0.158 -5.236
Tl -2.730 3.522 -3.141
Tl -8.281 1.282 -10.354
Tl -6.762 4.182 -4.685
Tl -4.569 1.869 -7.797
```

## Properties
Symmetry: No. 198
Crystal system: cubic
Energy above the lowest structure with this stoichiometry, meV per atom: 0
Density of states at the Fermi level, states/eV/f.u.: 8.445
Energy of formation from the pure elements, kJ/mol of atoms: -26.4

=====

## NbMoP3 (PBE-GGA)

Data for a relaxed NbMoP3 crystal.

Geometry as extended XYZ:
```
5
Lattice="4.781 0.000 0.000 0.000 4.781 0.000 0.000 0.000 4.781" Properties=species:S:1:pos:R:3 pbc="T T T"
P 0.000 2.391 0.000
P 0.000 0.000 2.391
P 2.391 0.000 0.000
Mo 2.391 2.391 2.391
Nb 0.000 0.000 0.000
```

## Properties
Symmetry: No. 221
Crystal system: cubic
Energy above the lowest structure with this stoichiometry, meV per atom: 124
Density of states at the Fermi level, states/eV/f.u.: 2.722
Energy of formation from the pure elements, kJ/mol of atoms: 88.4

=====

## BeZn2Si (PBE-GGA)

Data for a relaxed BeZn2Si crystal.

Geometry as extended XYZ:
```
4
Lattice="-1.311 5.073 -3.015 -1.116 1.181 -5.822 -0.919 -2.592 5.383" Properties=species:S:1:pos:R:3 pbc="T T T"
Be -1.200 3.091 -4.368
Zn -0.012 0.031 -0.044
Zn -1.585 2.449 -0.524
Si -1.764 1.217 -2.937
```

## Properties
Symmetry: No. 44
Crystal system: orthorhombic
Density of states at the Fermi level, states/eV/f.u.: 0.933

=====

## CdHg2P2 (PBE-GGA)

Data for a relaxed CdHg2P2 crystal.

Geometry as extended XYZ:
```
10
Lattice="7.517 0.000 0.000 0.000 7.517 0.000 0.000 0.000 3.968" Properties=species:S:1:pos:R:3 pbc="T T T"
P 2.274 6.033 0.000
P 6.033 5.243 0.000
P 5.243 1.485 0.000
P 1.485 2.274 0.000
Hg 1.006 4.765 1.984
Hg 4.765 6.511 1.984
Hg 6.511 2.753 1.984
Hg 2.753 1.006 1.984
Cd 0.000 0.000 0.000
Cd 3.759 3.759 0.000
```

## Properties
Symmetry: No. 127
Crystal system: tetragonal
Energy above the lowest structure with this stoichiometry, meV per atom: 168
Density of states at the Fermi level, states/eV/f.u.: 2.555
Energy of formation from the pure elements, kJ/mol of atoms: 38.8

=====

## Nd4Tm3S8 (PBE-GGA)

Data for a relaxed Nd4Tm3S8 crystal.

Geometry as extended XYZ:
```
15
Lattice="6.823 0.000 3.680 2.419 6.380 3.680 -0.238 -0.164 8.607" Properties=species:S:1:pos:R:3 pbc="T T T"
Nd 0.000 0.000 0.000
Nd 3.023 2.087 10.726
Nd 4.503 3.108 7.983
Nd 5.982 4.129 5.241
Tm 3.293 -0.082 6.143
Tm -0.119 -0.082 4.303
Tm 1.091 3.108 6.143
S 2.040 1.408 4.384
S 3.347 4.734 5.924
S 6.859 4.734 7.817
S 5.613 1.451 5.924
S 6.965 4.808 11.583
S 5.658 1.482 10.043
S 2.147 1.482 8.150
S 3.392 4.765 10.043
```

## Properties
Symmetry: No. 166
Crystal system: trigonal
Energy above the lowest structure with this stoichiometry, meV per atom: 199
Density of states at the Fermi level, states/eV/f.u.: 6.933

=====

no.,total energy (eV/cell)
1,-5.59
2,-24.62
3,-52.14
4,-111.78
5,-17.44
6,-23.78
7,-41.95
8,-111.49
9,-32.55
10,-10.82
11,-20.66
12,-92.44